[1]
Density functional theory data (PBE) for an optimized crystal structure of GaNi3B.

## Properties
- crystal system = hexagonal
- E above lowest polymorph (meV per atom) = 0.0
- V (Å³/f.u.) = 53.5

Unit cell a=4.024 b=5.540 c=5.540 alpha=120.00 beta=90.00 gamma=90.00
Fractional coordinates of all 10 atoms:
Ga  0.750  0.667  0.333
Ni  0.250  0.819  0.181
B  0.500  0.000  0.000
Ni  0.750  0.638  0.819
Ni  0.250  0.819  0.638
Ga  0.250  0.333  0.667
Ni  0.250  0.362  0.181
Ni  0.750  0.181  0.362
B  0.000  0.000  0.000
Ni  0.750  0.181  0.819

[2]
Density functional theory data (PBE) for an optimized crystal structure of SmY2Hg.

## Properties
- crystal system = orthorhombic
- E above lowest polymorph (meV per atom) = 16.9
- V (Å³/f.u.) = 121.5

Unit cell a=6.778 b=6.992 c=10.256 alpha=90.00 beta=90.00 gamma=90.00
Fractional coordinates of all 16 atoms:
Hg  0.565  0.097  0.750
Y  0.817  0.308  0.959
Sm  0.882  0.988  0.250
Y  0.317  0.192  0.459
Hg  0.435  0.903  0.250
Y  0.317  0.192  0.041
Hg  0.065  0.403  0.250
Hg  0.935  0.597  0.750
Sm  0.382  0.512  0.750
Sm  0.618  0.488  0.250
Y  0.817  0.308  0.541
Y  0.183  0.692  0.041
Y  0.183  0.692  0.459
Sm  0.118  0.012  0.750
Y  0.683  0.808  0.959
Y  0.683  0.808  0.541

| no. | calculated total energy (eV/atom) | DFT formation energy (kJ/mol of formula units) |
| --- | --- | --- |
| 1 | -5.6971 | -139 |
| 2 | -4.7145 | -88 |